7
Lattice="-2.3408 2.3408 7.9450 2.3408 -2.3408 7.9450 2.3408 2.3408 -7.9450" Properties=species:S:1:pos:R:3 comment="Ho4Sn2N | the Alexandria database | PBE | relaxed" raw_formation_energy_ev_per_atom=-0.98 m_tot_mub_per_cell=0.0 pbc="T T T"
Ho 2.3408 0.0000 0.0000
Ho 0.0000 0.0000 2.5257
Ho 0.0000 2.3408 0.0000
Ho 0.0000 0.0000 13.3643
Sn 0.0000 0.0000 5.6818
Sn 0.0000 0.0000 10.2081
N 0.0000 0.0000 0.0000